1.
LiEr8Cd2 | GGA-PBE | optimized geometry

* symmetry: No. 12
* calculated total energy: -3.706 eV per atom
* crystal system: monoclinic
* density of states at the Fermi level: 0.85 states/eV/atom

Structure (extended XYZ):
```
11
Lattice="8.780 -2.636 0.000 8.780 2.636 0.000 -2.040 0.000 6.618" Properties=species:S:1:pos:R:3 pbc="T T T"
Li 0.000 0.000 0.000
Er 0.730 0.000 3.009
Er 0.875 0.000 6.351
Er 3.971 0.000 4.769
Er 7.897 0.000 1.508
Er 7.624 0.000 5.110
Er 11.550 0.000 1.849
Er 14.645 0.000 0.268
Er 14.790 0.000 3.610
Cd 4.878 0.000 1.929
Cd 10.643 0.000 4.689
```

***

2.
BaMgHg2Au | GGA-PBE | optimized geometry

* symmetry: No. 123
* calculated total energy: -1.792 eV per atom
* crystal system: tetragonal
* density of states at the Fermi level: 0.62 states/eV/atom

Structure (extended XYZ):
```
5
Lattice="5.382 0.000 0.000 0.000 5.382 0.000 0.000 0.000 5.256" Properties=species:S:1:pos:R:3 pbc="T T T"
Ba 0.000 0.000 0.000
Mg 2.691 2.691 2.628
Hg 0.000 2.691 2.628
Hg 2.691 0.000 2.628
Au 2.691 2.691 0.000
```

***

3.
TbCeGaPt | GGA-PBE | optimized geometry

* symmetry: No. 216
* calculated total energy: -5.652 eV per atom
* crystal system: cubic
* density of states at the Fermi level: 1.53 states/eV/atom

Structure (extended XYZ):
```
4
Lattice="0.000 3.590 3.590 3.590 0.000 3.590 3.590 3.590 0.000" Properties=species:S:1:pos:R:3 pbc="T T T"
Tb 0.000 0.000 0.000
Ce 3.590 3.590 3.590
Ga 1.795 1.795 1.795
Pt 5.386 5.386 5.386
```

***

4.
Y3S4 | GGA-PBE | optimized geometry

* symmetry: No. 65
* calculated total energy: -7.205 eV per atom
* crystal system: orthorhombic
* density of states at the Fermi level: 0.38 states/eV/atom

Structure (extended XYZ):
```
7
Lattice="3.942 -5.467 0.000 3.942 5.467 0.000 0.000 0.000 3.938" Properties=species:S:1:pos:R:3 pbc="T T T"
Y 0.000 0.000 0.000
Y 1.971 2.734 1.969
Y 1.971 -2.734 1.969
S 1.900 0.000 1.969
S 3.942 2.705 0.000
S 3.942 -2.705 0.000
S 5.984 0.000 1.969
```

***

5.
CaPtW | GGA-PBE | optimized geometry

* symmetry: No. 194
* calculated total energy: -6.776 eV per atom
* crystal system: hexagonal
* density of states at the Fermi level: 0.48 states/eV/atom

Structure (extended XYZ):
```
6
Lattice="4.254 0.000 0.000 -2.127 3.684 0.000 0.000 0.000 9.321" Properties=species:S:1:pos:R:3 pbc="T T T"
Ca 0.000 0.000 0.000
Ca 0.000 0.000 4.661
Pt 0.000 2.456 2.330
Pt 2.127 1.228 6.991
W 0.000 2.456 6.991
W 2.127 1.228 2.330
```

***

6.
K2Li2Cd15 | GGA-PBE | optimized geometry

* symmetry: No. 166
* calculated total energy: -1.128 eV per atom
* crystal system: trigonal
* density of states at the Fermi level: 0.44 states/eV/atom

Structure (extended XYZ):
```
19
Lattice="5.195 2.999 5.051 -5.195 2.999 5.051 0.000 -5.999 5.051" Properties=species:S:1:pos:R:3 pbc="T T T"
K 0.000 0.000 2.395
K 0.000 0.000 12.756
Li 0.000 0.000 6.079
Li 0.000 0.000 9.073
Cd -2.598 -1.500 5.051
Cd 0.000 -3.017 4.774
Cd -2.613 1.508 4.774
Cd -1.506 -2.609 7.576
Cd -3.013 0.000 7.576
Cd -2.613 -1.508 10.378
Cd -2.598 1.500 10.101
Cd 1.506 -2.609 7.576
Cd 0.000 2.999 5.051
Cd -1.506 2.609 7.576
Cd 2.613 1.508 4.774
Cd 3.013 0.000 7.576
Cd 1.506 2.609 7.576
Cd 2.613 -1.508 10.378
Cd 0.000 3.017 10.378
```

***

7.
KAuI2O | GGA-PBE | optimized geometry

* symmetry: No. 123
* calculated total energy: -2.892 eV per atom
* crystal system: tetragonal
* density of states at the Fermi level: 0.51 states/eV/atom

Structure (extended XYZ):
```
5
Lattice="5.986 0.000 0.000 0.000 5.986 0.000 0.000 0.000 4.098" Properties=species:S:1:pos:R:3 pbc="T T T"
K 0.000 0.000 0.000
Au 2.993 2.993 2.049
I 0.000 2.993 2.049
I 2.993 0.000 2.049
O 2.993 2.993 0.000
```

***

8.
HgIr2Ru | GGA-PBE | optimized geometry

* symmetry: No. 47
* calculated total energy: -6.184 eV per atom
* crystal system: orthorhombic
* density of states at the Fermi level: 1.59 states/eV/atom

Structure (extended XYZ):
```
4
Lattice="2.830 0.000 0.000 0.000 4.744 0.000 0.000 0.000 4.786" Properties=species:S:1:pos:R:3 pbc="T T T"
Hg 0.000 0.000 0.000
Ir 0.000 2.372 2.393
Ir 1.415 2.372 0.000
Ru 1.415 0.000 2.393
```

***

Question: Which value of density of states at the Fermi level does entry 4 give?
Answer: 0.38 states/eV/atom

***

Question: Which formula does entry 4 have?
Answer: Y3S4

***

Question: What is the calculated total energy in the first record?
Answer: -3.706 eV per atom